# 1
This record from Alexandria via LeMat-Bulk describes a relaxed structure of NaPSe2. The functional is PBE.

The space group is R-3m (No. 166, hexagonal axes) and the conventional cell measures 4.7032, 4.7032 and 20.6879 Å, with angles of 90.00, 90.00 and 120.00 degrees. The asymmetric unit holds Na at (0.0000, 0.0000, 0.0000), P at (0.0000, 0.0000, 0.5000) and Se at (0.0000, 0.0000, 0.3922).

For the spin magnetization, the calculation gives 0.000 μB per formula unit. For the volume, the calculation gives 396.3 Å³ per cell. As for the formation energy (no corrections): 1.77 kcal/mol of atoms.

=====

# 2
This record from Alexandria via LeMat-Bulk describes a relaxed structure of KZnTc. The functional is PBE.

The space group is I4mm (No. 107) and the conventional cell measures 2.730, 2.730 and 15.712 Å, with angles of 90.00, 90.00 and 90.00 degrees. The asymmetric unit holds K at (0.000, 0.000, 0.000), Zn at (0.000, 0.000, 0.310) and Tc at (0.000, 0.000, 0.684).

For the formation energy, the calculation gives 0.781 eV/atom. For the spin magnetization, the calculation gives 0.000 μB per formula unit. For the volume, the calculation gives 117.1 Å³ per cell. The calculation puts the offset from the most stable computed form at 0.068 eV per atom.

=====

# 3
This record from Alexandria via LeMat-Bulk describes a relaxed structure of Zr2InMo. The functional is PBE.

The space group is P4mm (No. 99) and the conventional cell measures 2.955, 2.955 and 9.470 Å, with angles of 90.00, 90.00 and 90.00 degrees. The asymmetric unit holds Zr at (0.000, 0.000, 0.000), Zr at (0.500, 0.500, 0.262), In at (0.000, 0.000, 0.522) and Mo at (0.500, 0.500, 0.749).

For the formation energy, the calculation gives 0.180 eV/atom. For the spin magnetization, the calculation gives 0.000 μB per formula unit. For the volume, the calculation gives 82.7 Å³ per cell.

=====

# 4
This record from Alexandria via LeMat-Bulk describes a relaxed structure of Na2SrP. The functional is PBE.

The space group is I-42d (No. 122) and the conventional cell measures 4.469, 4.469 and 23.164 Å, with angles of 90.00, 90.00 and 90.00 degrees. The asymmetric unit holds Na at (0.199, 0.250, 0.125), Sr at (0.000, 0.000, 0.500) and P at (0.000, 0.000, 0.000).

For the formation energy, the calculation gives -0.247 eV/atom. For the spin magnetization, the calculation gives 0.000 μB per formula unit. For the volume, the calculation gives 462.7 Å³ per cell.